First-principles (GGA-PBE) data for an optimized crystal structure of Pr2ErBi, as listed in Alexandria.

Cell and atoms, written as POSCAR:
```
Pr2ErBi
1.0
4.344 0.000 0.000
0.000 4.344 0.000
0.000 0.000 6.892
Pr Er Bi
2 1 1
direct
0.000 0.000 0.239
0.000 0.000 0.761
0.500 0.500 0.500
0.500 0.500 0.000
```

Summary:
Energy relative to the elements in meV per atom: -391
Polymorph energy (0 for the lowest one) in eV per formula unit: 0.007
Total moment in Bohr magnetons per cell: 0.0
SG: P4/mmm (123)
Crystal system: tetragonal